No. 1
Compound: Na2Zr2Tc
Source: the Alexandria database
Functional: PBE
Structure: relaxed

Results
**Energy above the lowest structure with this stoichiometry**: 0.000 eV per atom
**Electronic total energy**: -5.539 eV/atom

```
5
Lattice="-3.212 -0.129 1.242 1.248 -0.310 3.197 -1.004 9.190 3.141" Properties=species:S:1:pos:R:3 pbc="T T T"
Tc 0.000 0.000 0.000
Na -0.369 4.330 4.278
Na -2.599 4.420 3.301
Zr -1.982 7.452 5.211
Zr -0.985 1.298 2.368
```

=====

No. 2
Compound: Na2Zr2Tc
Source: the Alexandria database
Functional: PBE
Structure: relaxed

Results
**Energy above the lowest structure with this stoichiometry**: 0.056 eV per atom
**Electronic total energy**: -5.483 eV/atom

```
10
Lattice="6.719 0.000 0.000 0.000 6.719 0.000 0.000 0.000 6.094" Properties=species:S:1:pos:R:3 pbc="T T T"
Zr 4.500 1.141 0.000
Zr 5.578 4.500 0.000
Na 4.555 5.523 3.047
Tc 3.359 3.359 0.000
Tc 0.000 0.000 0.000
Na 1.196 4.555 3.047
Na 2.164 1.196 3.047
Zr 2.219 5.578 0.000
Zr 1.141 2.219 0.000
Na 5.523 2.164 3.047
```

=====

No. 3
Compound: NaZrTc2
Source: the Alexandria database
Functional: PBE
Structure: relaxed

Results
**Energy above the lowest structure with this stoichiometry**: 0.199 eV per atom
**Electronic total energy**: -6.718 eV/atom

```
8
Lattice="-1.719 3.643 -0.508 0.472 -0.337 -4.018 -9.394 -2.581 -2.937" Properties=species:S:1:pos:R:3 pbc="T T T"
Tc -7.553 -0.667 -3.558
Tc -3.511 1.900 -1.597
Tc -8.097 0.928 -6.506
Tc -2.122 -0.711 -3.266
Zr 0.000 0.000 0.000
Na -4.773 -0.633 -4.609
Na -0.624 1.653 -2.263
Zr -5.868 1.357 -2.854
```

=====

No. 4
Compound: NaZr2Tc
Source: the Alexandria database
Functional: PBE
Structure: relaxed

Results
**Electronic total energy**: -6.236 eV/atom

```
8
Lattice="4.216 0.000 0.000 0.000 4.216 0.000 2.108 2.108 9.691" Properties=species:S:1:pos:R:3 pbc="T T T"
Zr 3.162 3.064 7.268
Na 2.108 2.108 0.000
Zr 3.261 1.054 2.423
Tc 0.000 0.000 0.000
Zr 0.955 3.162 2.423
Zr 5.270 5.369 7.268
Na 2.108 4.216 4.846
Tc 4.216 2.108 4.846
```

=====

No. 5
Compound: NaTe4
Source: the Alexandria database
Functional: PBE
Structure: relaxed

Results
**E_form (uncorrected)**: 0.611 eV per atom
**Electronic total energy**: -2.166 eV/atom

```
5
Lattice="-3.692 -3.088 -2.626 3.965 -2.014 -3.208 0.842 -4.059 3.589" Properties=species:S:1:pos:R:3 pbc="T T T"
Te 2.403 -3.036 0.191
Te 0.000 0.000 0.000
Na 0.557 -4.580 -1.122
Te -1.425 -3.573 0.481
Te 0.136 -2.551 -2.917
```

=====

No. 6
Compound: NaTe3
Source: the Alexandria database
Functional: PBE
Structure: relaxed

Results
**E_form (uncorrected)**: -0.385 eV per atom
**Energy above the lowest structure with this stoichiometry**: 0.000 eV per atom
**Electronic total energy**: -3.071 eV/atom

```
48
Lattice="-3.234 -2.143 8.276 -3.867 -3.557 -7.479 13.943 -17.232 0.986" Properties=species:S:1:pos:R:3 pbc="T T T"
Na 4.089 -11.926 3.558
Na 0.630 -7.651 3.313
Te -0.207 -3.819 -3.404
Te 6.777 -14.339 6.282
Te 5.269 -13.427 0.917
Na 7.602 -16.267 3.806
Na -2.882 -3.310 3.064
Te 7.049 -19.112 5.188
Na 12.216 -15.097 0.864
Te 4.724 -9.192 1.978
Na 9.724 -19.622 -1.281
Te -2.248 -7.612 1.817
Te 1.573 -9.505 0.866
Na 5.244 -6.481 0.371
Te 8.067 -20.721 2.878
Te -0.731 -6.154 5.849
Na 6.212 -15.281 -1.529
Na 8.699 -10.751 0.615
Te 2.118 -13.739 -0.194
Te 3.153 -15.335 -2.506
Te 7.958 -13.632 1.947
Te 0.256 -10.333 5.039
Te -1.225 -2.211 -1.095
Te 9.090 -15.320 -0.033
Te 1.278 -4.747 2.019
Te 8.872 -17.859 1.323
Te -3.670 -6.620 -3.380
Te 10.071 -18.885 6.628
Te -1.116 -9.300 -0.164
Te 5.564 -18.185 -0.235
Te 6.586 -12.599 -3.256
Te 11.662 -17.839 2.406
Te 10.512 -16.312 5.164
Te -2.030 -5.073 0.461
Te -4.820 -5.093 -0.623
Na 1.727 -2.135 0.122
Na -0.760 -6.665 -2.022
Te 3.689 -7.597 4.289
Te 7.573 -16.778 -4.065
Te 0.065 -8.593 -4.498
Te 1.124 -12.086 2.314
Te 3.038 -10.318 6.142
Na 2.753 -11.006 -1.774
Te 5.718 -10.846 -0.530
Te 3.804 -12.614 -4.358
Te 2.363 -6.542 -1.152
Te 4.479 -16.390 2.935
Te -3.229 -4.047 -4.844
```

=====

No. 7
Compound: NaTe2
Source: the Alexandria database
Functional: PBE
Structure: relaxed

Results
**E_form (uncorrected)**: -0.364 eV per atom
**Energy above the lowest structure with this stoichiometry**: 0.000 eV per atom
**Electronic total energy**: -2.898 eV/atom

```
12
Lattice="3.895 0.000 0.000 0.000 8.206 0.000 0.000 0.000 11.525" Properties=species:S:1:pos:R:3 pbc="T T T"
Te 0.974 1.159 2.093
Te 2.922 7.047 9.432
Te 0.974 5.262 3.670
Na 2.922 6.742 1.389
Te 2.922 3.184 0.811
Te 0.974 5.022 10.714
Te 2.922 2.944 7.856
Na 0.974 5.567 7.151
Na 2.922 2.639 4.374
Te 0.974 0.919 6.574
Na 0.974 1.464 10.137
Te 2.922 7.287 4.952
```

=====

No. 8
Compound: NaTe
Source: the Alexandria database
Functional: PBE
Structure: relaxed

Results
**E_form (uncorrected)**: -0.676 eV per atom
**Electronic total energy**: -2.906 eV/atom

```
4
Lattice="-4.878 -1.680 -1.450 -1.236 -5.265 0.988 -2.040 -1.110 5.670" Properties=species:S:1:pos:R:3 pbc="T T T"
Na -5.324 -6.249 1.231
Te -3.242 -3.785 1.445
Te -4.912 -4.271 3.763
Na -2.830 -1.806 3.977
```

=====

No. 9
Compound: NaTe
Source: the Alexandria database
Functional: PBE
Structure: relaxed

Results
**E_form (uncorrected)**: -0.350 eV per atom
**Electronic total energy**: -2.580 eV/atom

```
8
Lattice="-2.185 -1.636 5.750 -2.309 -5.416 -2.418 5.515 -2.916 1.266" Properties=species:S:1:pos:R:3 pbc="T T T"
Te -1.092 -0.818 2.875
Te 2.757 -1.458 0.633
Na 1.665 -2.276 3.508
Te 0.510 -4.984 2.299
Na 1.603 -4.166 -0.576
Na 0.000 0.000 0.000
Na -2.247 -3.526 1.666
Te -1.154 -2.708 -1.209
```

=====

No. 10
Compound: NaTe
Source: the Alexandria database
Functional: PBE
Structure: relaxed

Results
**E_form (uncorrected)**: -0.591 eV per atom
**Electronic total energy**: -2.822 eV/atom

```
12
Lattice="9.389 0.000 0.000 0.000 5.656 0.000 0.000 0.000 6.629" Properties=species:S:1:pos:R:3 pbc="T T T"
Na 7.786 2.828 5.252
Te 7.756 2.828 1.888
Te 0.000 0.000 4.516
Te 3.062 0.000 5.202
Na 1.604 2.828 5.252
Na 6.298 0.000 1.937
Te 1.633 2.828 1.888
Te 6.327 0.000 5.202
Na 0.000 0.000 1.105
Na 3.091 0.000 1.937
Na 4.695 2.828 4.419
Te 4.695 2.828 1.202
```

=====

No. 11
Compound: Na2Te3
Source: the Alexandria database
Functional: PBE
Structure: relaxed

Results
**E_form (uncorrected)**: -0.542 eV per atom
**Electronic total energy**: -2.955 eV/atom

```
10
Lattice="-0.383 -5.987 3.454 -1.360 -1.505 -6.619 6.821 -1.100 -1.151" Properties=species:S:1:pos:R:3 pbc="T T T"
Na 0.361 -4.349 -0.833
Na 2.035 -5.974 2.092
Te 4.608 -5.711 0.053
Te -1.310 -5.077 -3.655
Te 0.709 -2.919 -4.409
Na 4.650 -2.878 -6.679
Te 2.345 -6.749 -1.708
Te 3.217 -3.004 -0.126
Na 3.589 -4.061 -3.292
Te -0.438 -1.331 -2.073
```

=====

No. 12
Compound: NaTe
Source: the Alexandria database
Functional: PBE
Structure: relaxed

Results
**E_form (uncorrected)**: -0.608 eV per atom
**Electronic total energy**: -2.838 eV/atom

```
2
Lattice="3.529 0.000 0.000 0.000 3.529 0.000 0.000 0.000 4.518" Properties=species:S:1:pos:R:3 pbc="T T T"
Na 0.000 0.000 0.000
Te 1.764 1.764 2.259
```

=====

No. 13
Compound: NaTe5
Source: the Alexandria database
Functional: PBE
Structure: relaxed

Results
**E_form (uncorrected)**: -0.131 eV per atom
**Electronic total energy**: -2.969 eV/atom

```
6
Lattice="4.554 0.000 0.000 0.000 5.957 0.000 0.000 -2.978 7.852" Properties=species:S:1:pos:R:3 pbc="T T T"
Na 0.000 0.000 0.000
Te 0.000 2.978 2.174
Te 2.277 2.978 0.000
Te 2.277 0.000 3.715
Te 2.277 2.978 4.137
Te 0.000 0.000 5.678
```

=====

No. 14
Compound: Na2Te
Source: the Alexandria database
Functional: PBE
Structure: relaxed

Results
**E_form (uncorrected)**: -0.931 eV per atom
**Electronic total energy**: -2.858 eV/atom

```
3
Lattice="-3.007 -4.028 -1.275 0.552 -2.288 -4.621 2.035 -4.759 -0.310" Properties=species:S:1:pos:R:3 pbc="T T T"
Na -0.315 -8.306 -4.654
Na -0.105 -2.769 -1.551
Te 0.000 0.000 0.000
```

=====

No. 15
Compound: NaTe3
Source: the Alexandria database
Functional: PBE
Structure: relaxed

Results
**E_form (uncorrected)**: -0.343 eV per atom
**Energy above the lowest structure with this stoichiometry**: 0.042 eV per atom
**Electronic total energy**: -3.029 eV/atom

```
4
Lattice="-2.433 2.189 -3.104 1.528 -2.811 -3.180 -4.477 -3.611 4.240" Properties=species:S:1:pos:R:3 pbc="T T T"
Te -2.785 -2.167 -2.623
Te -2.597 -2.066 0.578
Te -0.452 -0.311 -3.142
Na 0.000 0.000 0.000
```

=====

No. 16
Compound: Na3Te
Source: the Alexandria database
Functional: PBE
Structure: relaxed

Results
**E_form (uncorrected)**: -0.535 eV per atom
**Energy above the lowest structure with this stoichiometry**: 0.000 eV per atom
**Electronic total energy**: -2.310 eV/atom

```
4
Lattice="4.874 0.000 0.000 0.000 4.874 0.000 0.000 0.000 4.872" Properties=species:S:1:pos:R:3 pbc="T T T"
Na 0.000 2.437 2.843
Na 2.437 2.437 0.407
Na 0.000 0.000 0.405
Te 2.437 0.000 2.840
```

=====

No. 17
Compound: NaTe
Source: the Alexandria database
Functional: PBE
Structure: relaxed

Results
**E_form (uncorrected)**: -0.672 eV per atom
**Electronic total energy**: -2.903 eV/atom

```
16
Lattice="-2.486 4.437 3.762 -4.984 -6.291 4.126 6.476 -1.310 5.825" Properties=species:S:1:pos:R:3 pbc="T T T"
Na 3.112 0.149 4.753
Na -4.624 -5.176 5.496
Na 1.007 -2.508 6.496
Na -2.001 -0.656 7.218
Na 3.630 2.011 8.218
Te 1.173 -1.991 3.316
Te 0.963 0.678 7.133
Na 1.524 -0.646 9.961
Te 0.766 -3.734 10.036
Te -1.760 0.570 3.678
Na -2.519 -2.519 3.753
Te 4.092 -1.922 6.947
Na -4.106 -3.314 8.960
Te -2.167 -1.174 10.398
Te -1.958 -3.843 6.581
Te -5.086 -1.243 6.766
```

=====

No. 18
Compound: NaTe6
Source: the Alexandria database
Functional: PBE
Structure: relaxed

Results
**E_form (uncorrected)**: 0.297 eV per atom
**Electronic total energy**: -2.584 eV/atom

```
7
Lattice="7.610 0.000 0.000 -2.537 7.175 0.000 -2.537 -3.587 6.213" Properties=species:S:1:pos:R:3 pbc="T T T"
Te -1.268 0.897 4.660
Te 3.805 0.000 3.107
Te 1.268 4.484 1.553
Te 1.268 -0.897 4.660
Te -1.268 3.587 3.107
Te 3.805 2.690 1.553
Na 0.000 0.000 0.000
```

=====

No. 19
Compound: NaTe
Source: the Alexandria database
Functional: PBE
Structure: relaxed

Results
**E_form (uncorrected)**: -0.157 eV per atom
**Electronic total energy**: -2.388 eV/atom

```
12
Lattice="-5.281 -6.924 0.039 6.773 -5.176 -1.783 1.441 -1.051 8.524" Properties=species:S:1:pos:R:3 pbc="T T T"
Te 2.066 -4.319 -0.882
Na -0.947 -4.756 -0.426
Na 4.467 -3.376 5.501
Te 5.800 -4.407 2.925
Te 2.413 -1.819 3.816
Na -3.241 -5.719 4.291
Na -0.600 -2.256 4.272
Te -0.575 -7.781 -0.862
Na 2.439 -7.344 -1.318
Na 3.746 -2.851 1.240
Te -1.560 -4.250 6.412
Te -2.280 -3.725 2.150
```

=====

No. 20
Compound: NaTe
Source: the Alexandria database
Functional: PBE
Structure: relaxed

Results
**E_form (uncorrected)**: -0.160 eV per atom
**Electronic total energy**: -2.390 eV/atom

```
8
Lattice="-5.003 4.997 0.923 -2.649 -1.459 -6.458 -4.336 -4.874 2.880" Properties=species:S:1:pos:R:3 pbc="T T T"
Te -4.670 0.062 1.902
Te -3.493 -3.166 -1.789
Te -3.826 1.769 -2.767
Na -2.997 -0.334 -0.664
Na -6.823 1.435 -3.431
Na -6.490 -3.500 -2.452
Na -7.667 -0.272 1.238
Te 0.000 0.000 0.000
```

=====

No. 21
Compound: NaTe3
Source: the Alexandria database
Functional: PBE
Structure: relaxed

Results
**E_form (uncorrected)**: -0.287 eV per atom
**Energy above the lowest structure with this stoichiometry**: 0.098 eV per atom
**Electronic total energy**: -2.974 eV/atom

```
4
Lattice="4.604 0.000 0.000 0.000 4.443 0.000 0.000 0.000 6.104" Properties=species:S:1:pos:R:3 pbc="T T T"
Te 2.302 1.762 3.052
Na 0.000 3.450 0.000
Te 2.302 1.245 0.000
Te 0.000 3.911 3.052
```

=====

No. 22
Compound: NaTe
Source: the Alexandria database
Functional: PBE
Structure: relaxed

Results
**E_form (uncorrected)**: -0.645 eV per atom
**Electronic total energy**: -2.875 eV/atom

```
16
Lattice="6.513 0.000 0.000 0.000 6.385 -0.525 0.000 0.271 11.769" Properties=species:S:1:pos:R:3 pbc="T T T"
Te 5.307 0.486 8.265
Na 5.410 4.910 5.157
Na 4.394 0.406 3.051
Te 1.091 1.612 11.377
Te 2.165 4.669 5.230
Te 1.206 6.170 2.979
Na 5.375 3.734 8.673
Te 4.462 3.543 2.118
Te 4.348 1.987 6.014
Na 2.119 6.251 8.192
Te 2.051 3.113 9.126
Na 1.103 1.746 6.086
Na 1.137 2.922 2.570
Na 2.153 4.803 -0.061
Na 4.359 1.853 11.304
Te 5.421 5.044 -0.133
```

=====

No. 23
Compound: Na2Te
Source: the Alexandria database
Functional: PBE
Structure: relaxed

Results
**E_form (uncorrected)**: -0.774 eV per atom
**Electronic total energy**: -2.701 eV/atom

```
3
Lattice="4.367 -0.001 -0.006 -0.001 4.367 0.007 -2.189 -2.176 4.549" Properties=species:S:1:pos:R:3 pbc="T T T"
Na 2.183 2.182 3.126
Te 2.183 2.183 0.000
Na -0.005 0.008 1.423
```